4
Lattice="-1.957 -1.922 -3.452 -0.238 -4.397 -0.233 -3.881 -2.028 0.513" Properties=species:S:1:pos:R:3 comment="PBE-GGA HfVCrRe, relaxed" sg=F-43m delta_e_f_kj_per_mol_fu=-27.9 pbc="T T T"
Re -1.519 -2.087 -0.793
V 0.000 0.000 0.000
Hf -3.038 -4.173 -1.586
Cr -4.556 -6.260 -2.379

=====

12
Lattice="6.087 -0.003 -0.003 -3.045 5.271 -0.003 -1.017 -1.761 11.385" Properties=species:S:1:pos:R:3 comment="PBE-GGA Tb3Dy6Tm2In, relaxed" sg=C2/m delta_e_f_kj_per_mol_fu=-42.2 pbc="T T T"
Tb -2.028 3.509 5.690
Tb 4.053 -0.003 5.690
Tb 1.013 1.753 5.690
Dy 3.030 1.778 8.592
Dy 2.037 3.527 2.804
Dy -1.005 1.728 2.789
Dy 0.026 3.513 8.592
Dy -0.012 -0.021 8.577
Dy 2.000 -0.007 2.789
Tm 0.005 3.510 -0.003
Tm 3.038 1.758 -0.003
In 0.000 0.000 0.000

=====

4
Lattice="-2.073 1.475 2.480 -2.799 -1.769 -1.287 1.753 -6.766 5.490" Properties=species:S:1:pos:R:3 comment="PBE-GGA Ce2EuRu, relaxed" sg=P4/mmm e_above_lowest_polymorph_mev_per_atom=0.0 delta_e_f_kj_per_mol_fu=-25.1 pbc="T T T"
Eu -1.559 -3.530 3.341
Ru -2.436 -0.147 0.596
Ce 1.440 -5.558 4.510
Ce 0.313 -1.207 0.980

=====

48
Lattice="-6.455 -2.496 -3.063 -5.327 -6.169 6.903 -8.001 6.796 1.973" Properties=species:S:1:pos:R:3 comment="PBE-GGA CuReO4, relaxed" sg=I4_1cd e_form_raw_ev_per_fu=-7.84 pbc="T T T"
Cu -9.101 -3.427 2.237
Cu -6.708 1.866 2.230
Cu -17.739 -0.492 4.023
Cu -3.327 1.103 0.403
Cu -11.396 1.282 3.237
Cu -13.790 -4.011 3.244
Cu -5.986 -2.901 -0.080
Cu -13.943 -2.001 6.603
Re -9.201 -0.106 0.699
Re -5.443 -1.428 3.208
Re -11.259 -5.889 5.072
Re -6.669 -5.260 4.237
Re -10.636 -1.783 5.089
Re -14.393 -0.461 2.581
Re -11.805 2.751 -0.815
Re -9.940 4.618 3.083
O -9.546 -0.459 -0.997
O -5.663 -2.393 1.744
O -12.611 -4.944 4.441
O -7.697 -4.462 3.042
O -12.163 -2.154 5.897
O -16.046 -0.220 3.155
O -5.870 3.578 1.990
O -10.785 3.097 3.389
O -8.758 -1.590 1.550
O -5.660 0.288 2.842
O -10.178 -6.359 3.754
O -7.285 -4.959 5.866
O -10.681 -0.145 4.426
O -13.779 -2.023 3.134
O -12.488 3.375 0.691
O -8.927 4.471 1.642
O -7.866 1.052 0.846
O -10.276 -4.159 0.821
O -10.331 -4.953 6.259
O -5.003 -4.659 4.141
O -9.276 -1.900 6.221
O -13.320 0.816 3.183
O -10.038 2.857 -0.724
O -15.366 2.564 1.395
O -10.636 0.580 1.470
O -6.639 -1.902 4.420
O -6.539 -1.184 -1.051
O -14.662 -0.208 5.923
O -10.370 -2.921 3.763
O -7.912 2.057 3.876
O -17.694 -2.406 4.752
O -3.116 -0.886 0.842

=====

4
Lattice="-2.539 -3.244 -2.267 -3.840 -1.813 2.019 -4.264 1.088 -1.657" Properties=species:S:1:pos:R:3 comment="PBE-GGA NiPtBr2, relaxed" sg=Fm-3m e_form_raw_ev_per_fu=2.99 e_above_lowest_polymorph_mev_per_atom=806.7 pbc="T T T"
Ni 0.000 0.000 0.000
Br -2.661 -0.992 -0.476
Br -7.982 -2.977 -1.429
Pt -5.321 -1.984 -0.953

=====

5
Lattice="-4.796 -1.016 0.696 0.908 -1.024 4.759 -0.833 4.737 1.178" Properties=species:S:1:pos:R:3 comment="PBE-GGA NaLi3Cl, relaxed" sg=Pm-3m e_form_raw_ev_per_fu=-2.55 e_above_lowest_polymorph_mev_per_atom=0.0 pbc="T T T"
Na -2.360 1.348 3.317
Li 0.454 -0.512 2.379
Li -0.416 2.368 0.589
Li -2.398 -0.508 0.348
Cl 0.000 0.000 0.000

=====

20
Lattice="6.125 0.000 0.000 3.062 5.304 0.000 3.062 1.768 10.263" Properties=species:S:1:pos:R:3 comment="PBE-GGA Ba2PmTcO6, relaxed" sg=R-3m e_form_raw_ev_per_fu=-24.08 pbc="T T T"
Ba 9.187 5.304 4.223
Ba 3.062 1.768 6.040
Ba 9.187 5.304 8.543
Ba 3.062 1.768 1.720
Pm 6.125 3.536 2.212
Pm 6.125 3.536 8.051
Tc 0.000 0.000 0.000
Tc 6.125 3.536 5.132
O 7.556 2.710 3.956
O 6.125 5.189 3.956
O 4.694 2.710 3.956
O 4.694 4.362 6.307
O 6.125 1.884 6.307
O 7.556 4.362 6.307
O 7.810 2.563 9.127
O 6.125 5.482 9.127
O 4.440 2.563 9.127
O 4.440 4.509 1.136
O 6.125 1.591 1.136
O 7.810 4.509 1.136

=====

19
Lattice="-1.628 6.630 0.341 -5.891 -2.343 -2.556 -1.043 -1.622 6.558" Properties=species:S:1:pos:R:3 comment="PBE-GGA La6IrO12, relaxed" sg=R-3 e_form_raw_ev_per_fu=-55.33 pbc="T T T"
La -6.590 1.967 0.627
La -2.930 3.077 0.369
La -4.124 -0.965 0.494
La -1.972 0.698 3.716
La -5.632 -0.412 3.974
La -4.438 3.630 3.849
Ir 0.000 0.000 0.000
O -5.052 3.492 1.507
O -6.089 -0.152 1.697
O -4.151 1.420 4.553
O -3.511 -0.826 2.837
O -2.473 2.817 2.646
O -4.411 1.245 -0.210
O -6.110 -2.298 -0.583
O -5.237 -2.983 4.312
O -6.702 2.499 -1.939
O -2.452 4.963 4.926
O -3.326 5.648 0.031
O -1.861 0.167 6.283

=====

5
Lattice="-4.958 -2.300 -1.872 1.976 0.157 -5.426 2.010 -4.814 0.592" Properties=species:S:1:pos:R:3 comment="PBE-GGA RbCdHg2Ge, relaxed" sg=P4/mmm delta_e_f_kj_per_mol_fu=8.0 pbc="T T T"
Ge 0.000 0.000 0.000
Hg 0.988 0.079 -2.713
Hg -2.479 -1.150 -0.936
Rb -0.486 -3.479 -3.353
Cd 1.005 -2.407 0.296

=====

4
Lattice="-0.084 -1.316 -3.923 3.333 -1.822 -1.643 -1.787 -8.651 0.757" Properties=species:S:1:pos:R:3 comment="PBE-GGA Sm2InTe, relaxed" sg=R3m e_form_raw_ev_per_fu=-3.18 e_above_lowest_polymorph_mev_per_atom=169.9 pbc="T T T"
Sm -1.115 -6.870 0.146
Sm 0.409 -2.832 -1.242
In 0.725 -5.910 -2.399
Te 0.386 -10.722 -2.961

=====

5
Lattice="-2.238 -2.369 2.100 -1.128 -1.807 -3.240 3.216 -2.697 0.384" Properties=species:S:1:pos:R:3 comment="PBE-GGA ZrScNO2, relaxed" sg=P4/mmm e_form_raw_ev_per_fu=-8.11 pbc="T T T"
Sc 0.000 0.000 0.000
O -0.564 -0.903 -1.620
O -1.119 -1.185 1.050
Zr -0.075 -3.436 -0.378
N 1.608 -1.348 0.192

=====

5
Lattice="5.497 0.000 0.000 0.000 4.749 0.000 0.000 0.000 5.497" Properties=species:S:1:pos:R:3 comment="PBE-GGA CdTe2MoSe, relaxed" sg=P4/mmm e_form_raw_ev_per_fu=1.15 pbc="T T T"
Mo 0.000 0.000 0.000
Te 0.000 0.000 2.748
Te 2.748 0.000 0.000
Se 0.000 2.375 0.000
Cd 2.748 2.375 2.748

=====

9
Lattice="4.467 0.000 0.000 0.000 4.467 0.000 0.000 0.000 11.031" Properties=species:S:1:pos:R:3 comment="PBE-GGA PrMg6Cd2, relaxed" sg=P4/mmm delta_e_f_kj_per_mol_fu=-98.9 pbc="T T T"
Pr 0.000 0.000 0.000
Mg 0.000 2.234 3.222
Mg 2.234 0.000 3.222
Mg 0.000 2.234 7.809
Mg 2.234 0.000 7.809
Mg 2.234 2.234 5.516
Mg 0.000 0.000 5.516
Cd 2.234 2.234 1.391
Cd 2.234 2.234 9.640

=====

15
Lattice="-2.015 4.805 -4.315 3.479 -3.833 -4.355 -5.706 -3.630 0.161" Properties=species:S:1:pos:R:3 comment="PBE-GGA SrPa6N8, relaxed" sg=R-3 e_form_raw_ev_per_fu=-20.64 pbc="T T T"
Sr 0.000 0.000 0.000
Pa -4.598 -1.429 -4.677
Pa -1.845 -3.559 -5.384
Pa -1.796 -0.175 -6.465
Pa 0.357 -1.229 -3.831
Pa -2.397 0.901 -3.124
Pa -2.445 -2.483 -2.043
N -3.139 -1.967 -6.296
N -1.103 -0.691 -2.213
N -0.312 -1.920 -5.919
N -3.499 0.606 -5.120
N -3.605 -3.334 -3.836
N -3.930 -0.738 -2.589
N -0.742 -3.264 -3.389
N -0.637 0.675 -4.672

=====

5
Lattice="3.727 0.000 0.000 -1.864 3.228 0.000 0.000 0.000 6.750" Properties=species:S:1:pos:R:3 comment="PBE-GGA BaMg2N2, relaxed" sg=P-3m1 e_form_raw_ev_per_fu=-2.79 pbc="T T T"
Mg 1.864 1.076 0.829
Mg 0.000 2.152 5.922
Ba 0.000 0.000 3.375
N 1.864 1.076 5.360
N 0.000 2.152 1.391

=====

13
Lattice="-4.498 1.562 -1.021 -4.681 -4.163 1.841 -2.537 3.515 4.940" Properties=species:S:1:pos:R:3 comment="PBE-GGA LaCu11Ni, relaxed" sg=C2/m delta_e_f_kj_per_mol_fu=-98.0 pbc="T T T"
La 0.000 0.000 0.000
Cu -2.867 0.267 1.294
Cu -8.849 0.646 4.465
Cu -6.445 -1.605 2.044
Cu -5.271 2.518 3.715
Cu -6.311 0.181 3.990
Cu -5.405 0.732 1.769
Cu -7.738 2.309 2.847
Cu -3.978 -1.396 2.912
Cu -2.341 -2.082 0.920
Cu -3.517 2.538 1.959
Cu -1.269 1.757 2.470
Ni -4.589 -1.301 0.410

=====

6
Lattice="-3.290 -0.312 1.959 1.923 -3.156 -1.040 8.144 2.809 14.124" Properties=species:S:1:pos:R:3 comment="PBE-GGA PuPbI, relaxed" sg=C2/m e_form_raw_ev_per_fu=-1.12 pbc="T T T"
Pu 6.262 0.493 10.595
Pu 0.515 -1.152 4.449
Pb 0.772 0.035 1.302
Pb 6.005 -0.693 13.742
I 3.192 0.167 5.387
I 3.585 -0.825 9.657

=====

4
Lattice="-0.506 1.379 -2.288 -1.817 -1.884 -0.734 -5.330 3.791 3.464" Properties=species:S:1:pos:R:3 comment="PBE-GGA CoIr2Os, relaxed" sg=P4/mmm e_above_lowest_polymorph_mev_per_atom=12.0 delta_e_f_kj_per_mol_fu=12.2 pbc="T T T"
Co -5.159 2.591 1.087
Ir -5.292 3.764 3.439
Ir -2.703 1.923 1.757
Os -2.494 0.695 -0.645

=====

18
Lattice="-1.350 -1.482 -6.995 6.164 -2.327 3.089 -6.078 -11.350 3.578" Properties=species:S:1:pos:R:3 comment="PBE-GGA KTmPbCl6, relaxed" sg=P-31c e_form_raw_ev_per_fu=-16.86 pbc="T T T"
K 0.000 0.000 0.000
K -3.039 -5.675 1.789
Tm -0.364 -4.602 -2.739
Tm -0.899 -10.558 2.411
Pb 2.140 -4.883 0.622
Pb -3.403 -10.277 -0.950
Cl 2.109 -3.965 -2.146
Cl 0.011 -3.808 -5.210
Cl 1.630 -10.006 2.831
Cl -1.274 -11.352 4.881
Cl -0.565 -5.493 -0.282
Cl 0.309 -6.997 -3.567
Cl -0.106 -12.967 1.744
Cl -2.893 -5.153 -3.159
Cl -1.572 -8.163 3.239
Cl -1.157 -2.193 -2.072
Cl -0.699 -9.667 -0.047
Cl -3.372 -11.194 1.818

=====

8
Lattice="-0.024 -4.701 -1.110 -0.936 -1.084 4.613 -4.794 -2.676 0.927" Properties=species:S:1:pos:R:3 comment="PBE-GGA CuO2F, relaxed" sg=I-42d e_form_raw_ev_per_fu=1.07 pbc="T T T"
O -1.333 -4.163 0.016
O -1.784 -1.514 3.075
O -3.872 -4.079 1.597
O -4.519 -7.166 4.173
Cu 0.000 0.000 0.000
Cu -2.649 -5.135 0.785
F -0.480 -2.893 1.752
F -3.105 -3.326 3.646

=====

Results for calculated volume: 60.6, 365.1, 112.2, 755.1, 73.5, 121.4, 333.4, 308.0, 175.2, 126.6, 63.3, 143.5, 220.1, 298.7, 81.2, 178.0, 209.1, 54.7, 612.8, 102.6 (in Å³/cell, following the order of the records).